[1]
Computed, not measured: a geometry-optimized ZnCdHRh2 structure at the PBE-GGA level of DFT.

Values from the calculation:
- polymorph energy (0 for the lowest one) (eV per atom) = 0.000
- mass density (Mg/m³) = 9.975
- total DFT energy (no corrections) (eV per cell) = -20.8

a = 4.0669 Å, b = 4.0669 Å, c = 3.8712 Å
α = 90.00°, β = 90.00°, γ = 90.00°
Fractional coordinates of all 5 atoms:
1 Zn 0.0000 0.0000 0.0000
2 Cd 0.5000 0.5000 0.0000
3 H 0.0000 0.0000 0.5000
4 Rh 0.0000 0.5000 0.5000
5 Rh 0.5000 0.0000 0.5000

[2]
Computed, not measured: a geometry-optimized ZnCd2HRh structure at the PBE-GGA level of DFT.

Values from the calculation:
- mass density (Mg/m³) = 8.805
- total DFT energy (no corrections) (eV per cell) = -13.8

a = 4.6418 Å, b = 4.6418 Å, c = 3.4499 Å
α = 90.00°, β = 90.00°, γ = 90.00°
Fractional coordinates of all 5 atoms:
1 Zn 0.0000 0.0000 0.0000
2 Cd 0.0000 0.5000 0.5000
3 Cd 0.5000 0.0000 0.5000
4 H 0.5000 0.5000 0.5000
5 Rh 0.5000 0.5000 0.0000

[3]
Computed, not measured: a geometry-optimized ZnCdHRh2 structure at the PBE-GGA level of DFT.

Values from the calculation:
- polymorph energy (0 for the lowest one) (eV per atom) = 0.042
- mass density (Mg/m³) = 9.857
- total DFT energy (no corrections) (eV per cell) = -20.6

a = 4.0030 Å, b = 4.0030 Å, c = 4.0435 Å
α = 90.00°, β = 90.00°, γ = 90.00°
Fractional coordinates of all 5 atoms:
1 Zn 0.0000 0.0000 0.0000
2 Cd 0.5000 0.5000 0.0000
3 H 0.5000 0.5000 0.5000
4 Rh 0.0000 0.5000 0.5000
5 Rh 0.5000 0.0000 0.5000

[4]
Computed, not measured: a geometry-optimized CdH5Ru structure at the PBE-GGA level of DFT.

Values from the calculation:
- mass density (Mg/m³) = 5.759
- total DFT energy (no corrections) (eV per cell) = -24.8

a = 4.5536 Å, b = 4.5536 Å, c = 4.5536 Å
α = 104.07°, β = 94.30°, γ = 133.00°
Fractional coordinates of all 7 atoms:
1 Cd 0.0000 0.0000 0.0000
2 H 0.3700 0.6394 0.7306
3 H 0.4431 0.2349 0.7918
4 H 0.4431 0.6513 0.2082
5 H 0.8847 0.3847 0.5000
6 H 0.9089 0.6394 0.2694
7 Ru 0.3452 0.8452 0.5000

[5]
Computed, not measured: a geometry-optimized CdHRu2 structure at the PBE-GGA level of DFT.

Values from the calculation:
- polymorph energy (0 for the lowest one) (eV per atom) = 0.633
- mass density (Mg/m³) = 9.228
- total DFT energy (no corrections) (eV per cell) = -18.1

a = 4.3143 Å, b = 4.3143 Å, c = 4.3143 Å
α = 60.00°, β = 60.00°, γ = 60.00°
Fractional coordinates of all 4 atoms:
1 Cd 0.0000 0.0000 0.0000
2 H 0.5000 0.5000 0.5000
3 Ru 0.2500 0.2500 0.2500
4 Ru 0.7500 0.7500 0.7500

[6]
Computed, not measured: a geometry-optimized Cd2H2Ru structure at the PBE-GGA level of DFT.

Values from the calculation:
- mass density (Mg/m³) = 8.226
- total DFT energy (no corrections) (eV per cell) = -33.1

a = 5.6574 Å, b = 5.6574 Å, c = 4.1365 Å
α = 90.00°, β = 90.00°, γ = 90.00°
Fractional coordinates of all 10 atoms:
1 Cd 0.2412 0.2588 0.0000
2 Cd 0.2588 0.7588 0.0000
3 Cd 0.7412 0.2412 0.0000
4 Cd 0.7588 0.7412 0.0000
5 H 0.2492 0.2508 0.5000
6 H 0.2508 0.7508 0.5000
7 H 0.7492 0.2492 0.5000
8 H 0.7508 0.7492 0.5000
9 Ru 0.0000 0.0000 0.5000
10 Ru 0.5000 0.5000 0.5000

Which value of total DFT energy (no corrections) does entry 4 give? -24.8 eV per cell